Material: Y2ScRuO
Method: DFT, PBE
State: optimized geometry

Output
The calculation puts the uncorrected formation energy at -1.247 eV per atom. The volume is 95 Å³ per cell. As for the density of states at the Fermi level: 0.91 states/eV per atom. As for the raw total energy: -7.945 eV per atom. The total magnetic moment comes out at 0.0000 μB/atom.

abc: 4.784 4.784 4.162
angles: 90.00 90.00 90.00
Atoms (fractional coordinates):
Sc  0.000  0.000  0.500
Y  0.500  0.000  0.000
Y  0.000  0.500  0.000
O  0.000  0.000  0.000
Ru  0.500  0.500  0.500

=====

Material: CsLi3Zn
Method: DFT, PBE
State: optimized geometry

Output
The volume is 192 Å³ per cell. The calculated formation energy comes out at 984 meV/atom. As for the density of states at the Fermi level: 0.67 states/eV per atom. As for the raw total energy: -0.590 eV per atom. The total magnetic moment comes out at 0.0000 μB/atom.

abc: 5.772 5.772 5.772
angles: 90.00 90.00 90.00
Atoms (fractional coordinates):
Li  0.000  0.500  0.000
Zn  0.500  0.500  0.500
Cs  0.000  0.000  0.000
Li  0.000  0.000  0.500
Li  0.500  0.000  0.000

=====

Material: Pu12HgRh6
Method: DFT, PBE
State: optimized geometry

Output
The volume is 478 Å³ per cell. The calculated formation energy comes out at -108 meV/atom. As for the density of states at the Fermi level: 4.25 states/eV per atom. As for the raw total energy: -11.497 eV per atom. The total magnetic moment comes out at 3.5206 μB/atom.

abc: 8.253 8.253 8.253
angles: 106.17 106.17 106.17
Last column: magnetic moment on the atom in μB.
Atoms (fractional coordinates):
Pu  0.589  0.589  0.845  5.39
Rh  0.698  0.275  0.275  -0.28
Rh  0.275  0.698  0.275  -0.28
Pu  0.500  0.121  0.879  5.38
Hg  0.000  0.000  0.000  0.03
Pu  0.879  0.500  0.121  5.38
Pu  0.155  0.411  0.411  5.39
Pu  0.589  0.845  0.589  5.39
Pu  0.411  0.155  0.411  5.39
Pu  0.845  0.589  0.589  5.39
Rh  0.725  0.302  0.725  -0.28
Rh  0.302  0.725  0.725  -0.28
Pu  0.500  0.879  0.121  5.38
Pu  0.121  0.500  0.879  5.38
Pu  0.411  0.411  0.155  5.39
Pu  0.879  0.121  0.500  5.38
Pu  0.121  0.879  0.500  5.38
Rh  0.725  0.725  0.302  -0.28
Rh  0.275  0.275  0.698  -0.28

=====

Material: TmZn7Ni5
Method: DFT, PBE
State: optimized geometry

Output
The volume is 180 Å³ per cell. The calculated formation energy comes out at -301 meV/atom. As for the density of states at the Fermi level: 0.42 states/eV per atom. As for the raw total energy: -3.554 eV per atom. The total magnetic moment comes out at 0.0000 μB/atom.

abc: 5.018 6.499 6.499
angles: 81.70 67.29 67.29
Atoms (fractional coordinates):
Zn  0.989  0.357  0.666
Zn  0.500  0.788  0.212
Tm  0.021  0.979  0.979
Ni  0.721  0.779  0.779
Ni  0.494  0.505  0.002
Ni  0.999  0.505  0.002
Ni  0.999  0.002  0.505
Zn  0.273  0.227  0.227
Zn  0.989  0.666  0.357
Zn  0.353  0.647  0.647
Ni  0.494  0.002  0.505
Zn  0.500  0.212  0.788
Zn  0.669  0.331  0.331

=====

Material: InFe2I6Br2
Method: DFT, PBE
State: optimized geometry

Output
The calculation puts the uncorrected formation energy at -0.311 eV per atom. The volume is 495 Å³ per cell. As for the density of states at the Fermi level: 0.17 states/eV per atom. As for the raw total energy: -3.249 eV per atom. The total magnetic moment comes out at 0.8181 μB/atom.

abc: 7.427 7.427 10.358
angles: 90.00 90.00 120.00
Last column: magnetic moment on the atom in μB.
Atoms (fractional coordinates):
I  0.996  0.331  0.175  0.11
In  0.000  0.000  0.000  -0.10
Br  0.667  0.333  0.476  0.26
I  0.331  0.335  0.825  0.11
Fe  0.333  0.667  0.745  3.47
I  0.665  0.996  0.825  0.11
I  0.004  0.669  0.825  0.11
I  0.335  0.004  0.175  0.11
I  0.669  0.665  0.175  0.11
Fe  0.667  0.333  0.255  3.47
Br  0.333  0.667  0.524  0.26

=====

Material: Ca2ZnRe
Method: DFT, PBE
State: optimized geometry

Output
The volume is 91 Å³ per cell. The calculated formation energy comes out at 669 meV/atom. As for the density of states at the Fermi level: 0.93 states/eV per atom. As for the raw total energy: -3.762 eV per atom. The total magnetic moment comes out at 0.1947 μB/atom.

abc: 10.332 10.332 10.332
angles: 17.94 17.94 17.94
Last column: magnetic moment on the atom in μB.
Atoms (fractional coordinates):
Ca  0.986  0.986  0.986  0.02
Re  0.509  0.509  0.509  0.57
Zn  0.239  0.239  0.239  0.01
Ca  0.765  0.765  0.765  0.01

=====

Material: AcGa5Pd3
Method: DFT, PBE
State: optimized geometry

Output
The volume is 350 Å³ per cell. The calculated formation energy comes out at -609 meV/atom. As for the density of states at the Fermi level: 0.38 states/eV per atom. As for the raw total energy: -4.478 eV per atom. The total magnetic moment comes out at 0.0000 μB/atom.

abc: 4.190 6.831 12.848
angles: 90.00 90.00 107.86
Atoms (fractional coordinates):
Ga  0.800  0.599  0.438
Pd  0.392  0.784  0.545
Ga  0.442  0.884  0.348
Ga  0.558  0.116  0.652
Ga  0.200  0.401  0.562
Pd  0.392  0.784  0.955
Pd  0.131  0.262  0.750
Pd  0.869  0.738  0.250
Ga  0.558  0.116  0.848
Ac  0.834  0.669  0.750
Pd  0.608  0.216  0.045
Ga  0.442  0.884  0.152
Ga  0.800  0.599  0.062
Ga  0.000  0.000  0.000
Ga  0.000  0.000  0.500
Ac  0.166  0.331  0.250
Pd  0.608  0.216  0.455
Ga  0.200  0.401  0.938

=====

Material: Cu2HgN
Method: DFT, PBE
State: optimized geometry

Output
The calculation puts the uncorrected formation energy at 1.126 eV per atom. The volume is 54 Å³ per cell. As for the density of states at the Fermi level: 0.77 states/eV per atom. As for the raw total energy: -3.079 eV per atom. The total magnetic moment comes out at 0.0000 μB/atom.

abc: 4.246 4.246 4.246
angles: 60.00 60.00 60.00
Atoms (fractional coordinates):
Cu  0.250  0.250  0.250
Cu  0.750  0.750  0.750
N  0.000  0.000  0.000
Hg  0.500  0.500  0.500